Entry 1:
Compound: HfUTc2
Source: Alexandria via LeMat-Bulk
Functional: GGA-PBE
Structure: optimized geometry

Computed properties:
E_form = -0.28 eV/atom
DOS at the Fermi energy = 1.358 states/eV/atom
crystal system = tetragonal

The structure in CIF format:
```
data_HfUTc2
_chemical_formula_sum 'Hf1 U1 Tc2'
_cell_length_a 4.707
_cell_length_b 4.707
_cell_length_c 3.287
_cell_angle_alpha 90.00
_cell_angle_beta 90.00
_cell_angle_gamma 90.00
_symmetry_space_group_name_H-M 'P 4/m m m'
_symmetry_Int_Tables_number 123
_symmetry_space_group_name_Hall '-P 4 2'
loop_
_atom_site_label
_atom_site_type_symbol
_atom_site_fract_x
_atom_site_fract_y
_atom_site_fract_z
Hf1 Hf 0.000 0.000 0.000
U1 U 0.500 0.500 0.000
Tc1 Tc 0.000 0.500 0.500
```

Entry 2:
Compound: Tl2CdPb5
Source: Alexandria via LeMat-Bulk
Functional: GGA-PBE
Structure: optimized geometry

Computed properties:
E_form = 0.02 eV/atom
DOS at the Fermi energy = 0.448 states/eV/atom
crystal system = orthorhombic
polymorph energy (0 for the lowest one) = 0 meV per atom

The structure in CIF format:
```
data_Tl2CdPb5
_chemical_formula_sum 'Tl4 Cd2 Pb10'
_cell_length_a 7.092
_cell_length_b 14.260
_cell_length_c 4.796
_cell_angle_alpha 90.00
_cell_angle_beta 90.00
_cell_angle_gamma 90.00
_symmetry_space_group_name_H-M 'P b a m'
_symmetry_Int_Tables_number 55
_symmetry_space_group_name_Hall '-P 2 2ab'
loop_
_atom_site_label
_atom_site_type_symbol
_atom_site_fract_x
_atom_site_fract_y
_atom_site_fract_z
Tl1 Tl 0.246 0.123 0.000
Cd1 Cd 0.000 0.000 0.500
Pb1 Pb 0.000 0.500 0.500
Pb2 Pb 0.002 0.251 0.500
Pb3 Pb 0.243 0.880 0.000
```

Entry 3:
Compound: LiZn2Ir2
Source: Alexandria via LeMat-Bulk
Functional: GGA-PBE
Structure: optimized geometry

Computed properties:
E_form = -0.10 eV/atom
DOS at the Fermi energy = 0.470 states/eV/atom
crystal system = tetragonal
polymorph energy (0 for the lowest one) = 0 meV per atom

The structure in CIF format:
```
data_LiZn2Ir2
_chemical_formula_sum 'Li2 Zn4 Ir4'
_cell_length_a 7.474
_cell_length_b 7.474
_cell_length_c 2.773
_cell_angle_alpha 90.00
_cell_angle_beta 90.00
_cell_angle_gamma 90.00
_symmetry_space_group_name_H-M 'P 4/m b m'
_symmetry_Int_Tables_number 127
_symmetry_space_group_name_Hall '-P 4 2ab'
loop_
_atom_site_label
_atom_site_type_symbol
_atom_site_fract_x
_atom_site_fract_y
_atom_site_fract_z
Li1 Li 0.000 0.000 0.000
Zn1 Zn 0.173 0.327 0.500
Ir1 Ir 0.125 0.625 0.000
```

Entry 4:
Compound: Rb2SrAg
Source: Alexandria via LeMat-Bulk
Functional: GGA-PBE
Structure: optimized geometry

Computed properties:
E_form = 0.16 eV/atom
DOS at the Fermi energy = 0.862 states/eV/atom
crystal system = tetragonal
polymorph energy (0 for the lowest one) = 0 meV per atom

The structure in CIF format:
```
data_Rb2SrAg
_chemical_formula_sum 'Rb8 Sr4 Ag4'
_cell_length_a 11.966
_cell_length_b 11.966
_cell_length_c 6.689
_cell_angle_alpha 90.00
_cell_angle_beta 90.00
_cell_angle_gamma 90.00
_symmetry_space_group_name_H-M 'I -4 2 d'
_symmetry_Int_Tables_number 122
_symmetry_space_group_name_Hall 'I -4 2bw'
loop_
_atom_site_label
_atom_site_type_symbol
_atom_site_fract_x
_atom_site_fract_y
_atom_site_fract_z
Rb1 Rb 0.143 0.750 0.125
Sr1 Sr 0.000 0.000 0.500
Ag1 Ag 0.000 0.000 0.000
```